No. 1
DFT (GGA-PBE) results for Li2YTa after structural relaxation.

a b c (Å): 4.2695 4.2695 4.4225
angles (deg): 90.00 90.00 90.00
Fractional coordinates of all 4 atoms:
1 Li 0.0000 0.5000 0.0000
2 Li 0.5000 0.0000 0.0000
3 Y 0.0000 0.0000 0.5000
4 Ta 0.5000 0.5000 0.5000

Computed properties:
The energy above the most stable polymorph in this dataset is 333 meV per atom. Its space group is P4/mmm (123). As for the formation energy: 0.632 eV/atom.



No. 2
DFT (GGA-PBE) results for LiYTa2 after structural relaxation.

a b c (Å): 3.4959 3.4959 6.9964
angles (deg): 90.00 90.00 90.00
Fractional coordinates of all 4 atoms:
1 Li 0.0000 0.0000 0.0000
2 Y 0.5000 0.5000 0.6942
3 Ta 0.0000 0.0000 0.4085
4 Ta 0.5000 0.5000 0.2336

Computed properties:
The energy above the most stable polymorph in this dataset is 0 meV per atom. Its space group is P4mm (99). As for the formation energy: 0.300 eV/atom.



Please write out number 1 again, unchanged.
DFT (GGA-PBE) results for Li2YTa after structural relaxation.

a b c (Å): 4.2695 4.2695 4.4225
angles (deg): 90.00 90.00 90.00
Fractional coordinates of all 4 atoms:
1 Li 0.0000 0.5000 0.0000
2 Li 0.5000 0.0000 0.0000
3 Y 0.0000 0.0000 0.5000
4 Ta 0.5000 0.5000 0.5000

Computed properties:
The energy above the most stable polymorph in this dataset is 333 meV per atom. Its space group is P4/mmm (123). As for the formation energy: 0.632 eV/atom.